Entry 1:
{"formula": "Sr2SiAs", "functional": "GGA-PBE", "state": "optimized geometry", "lattice_angstrom": [[0.295, -4.366, 3.187], [1.836, 0.469, 5.070], [-3.406, -0.540, 4.173]], "species": ["Sr", "Sr", "As", "Si"], "fractional_positions": [[0.250, 0.250, 0.250], [0.750, 0.750, 0.750], [0.500, 0.500, 0.500], [0.000, 0.000, 0.000]], "raw_formation_energy_ev_per_fu": -1.75, "mass_density_kg_m3": 4120, "total_magnetization_mub_per_fu": 0.0, "relative_energy_mev_per_atom": 54, "dos_ef_per_ev_cell": 2.8}

Entry 2:
{"formula": "Sr5Si2As", "functional": "GGA-PBE", "state": "optimized geometry", "lattice_angstrom": [[7.356, 0.000, -3.472], [-1.639, 7.171, -3.472], [0.039, 0.049, 9.611]], "species": ["Sr", "Sr", "Sr", "Sr", "Sr", "Sr", "Sr", "Sr", "Sr", "Sr", "Si", "Si", "Si", "Si", "As", "As"], "fractional_positions": [[0.532, 0.682, 0.714], [0.818, 0.968, 0.286], [0.000, 0.000, 0.000], [0.500, 0.500, 0.000], [0.182, 0.032, 0.714], [0.682, 0.182, 0.714], [0.032, 0.532, 0.714], [0.318, 0.818, 0.286], [0.968, 0.468, 0.286], [0.468, 0.318, 0.286], [0.110, 0.390, 0.000], [0.610, 0.110, 0.000], [0.390, 0.890, 0.000], [0.890, 0.610, 0.000], [0.750, 0.750, 0.500], [0.250, 0.250, 0.500]], "raw_formation_energy_ev_per_fu": -4.89, "mass_density_kg_m3": 3711, "total_magnetization_mub_per_fu": 0.9, "dos_ef_per_ev_cell": 2.9}

Entry 3:
{"formula": "SrSiAs2", "functional": "GGA-PBE", "state": "optimized geometry", "lattice_angstrom": [[-1.246, -4.215, -1.023], [1.315, 0.649, -4.274], [3.950, -1.411, 1.001]], "species": ["As", "As", "Si", "Sr"], "fractional_positions": [[0.000, 0.000, 0.000], [0.500, 0.500, 0.000], [0.500, 0.000, 0.500], [0.000, 0.500, 0.500]], "raw_formation_energy_ev_per_fu": -0.50, "mass_density_kg_m3": 5014, "total_magnetization_mub_per_fu": 0.0, "dos_ef_per_ev_cell": 2.8}

Entry 4:
{"formula": "SrSiAs2", "functional": "GGA-PBE", "state": "optimized geometry", "lattice_angstrom": [[7.163, 0.000, 0.000], [0.000, 7.163, 0.000], [3.582, 3.582, 4.048]], "species": ["Sr", "Sr", "As", "As", "As", "As", "Si", "Si"], "fractional_positions": [[0.000, 0.000, 0.000], [0.750, 0.250, 0.500], [0.540, 0.125, 0.250], [0.210, 0.625, 0.250], [0.375, 0.460, 0.750], [0.875, 0.790, 0.750], [0.500, 0.500, 0.000], [0.250, 0.750, 0.500]], "raw_formation_energy_ev_per_fu": -2.43, "mass_density_kg_m3": 4246, "total_magnetization_mub_per_fu": 0.0, "dos_ef_per_ev_cell": 0.0}

Entry 5:
{"formula": "Sr4SiAs", "functional": "GGA-PBE", "state": "optimized geometry", "lattice_angstrom": [[-5.886, 3.037, 0.268], [-1.820, 4.135, -4.851], [-4.821, -1.740, -4.203]], "species": ["Sr", "Sr", "Sr", "Sr", "Si", "As"], "fractional_positions": [[0.875, 0.375, 0.375], [0.375, 0.375, 0.875], [0.375, 0.875, 0.375], [0.375, 0.375, 0.375], [0.000, 0.000, 0.000], [0.750, 0.750, 0.750]], "raw_formation_energy_ev_per_fu": 3.14, "mass_density_kg_m3": 3656, "total_magnetization_mub_per_fu": 0.0, "dos_ef_per_ev_cell": 6.4}

Entry 6:
{"formula": "SrSiAs", "functional": "GGA-PBE", "state": "optimized geometry", "lattice_angstrom": [[-4.389, -2.161, -0.511], [-0.834, -4.390, 2.056], [-3.022, -0.372, 3.863]], "species": ["As", "Si", "Sr"], "fractional_positions": [[0.500, 0.500, 0.500], [0.750, 0.750, 0.750], [0.000, 0.000, 0.000]], "raw_formation_energy_ev_per_fu": -0.16, "mass_density_kg_m3": 3762, "total_magnetization_mub_per_fu": 0.0, "dos_ef_per_ev_cell": 0.7}

Entry 7:
{"formula": "SrSiAs2", "functional": "GGA-PBE", "state": "optimized geometry", "lattice_angstrom": [[-3.823, 0.015, -0.323], [-0.040, -2.497, 2.913], [-0.328, 4.801, 4.110]], "species": ["As", "As", "Si", "Sr"], "fractional_positions": [[0.000, 0.000, 0.035], [0.500, 0.500, 0.286], [0.000, 0.000, 0.411], [0.500, 0.500, 0.768]], "raw_formation_energy_ev_per_fu": -0.58, "mass_density_kg_m3": 4740, "total_magnetization_mub_per_fu": 0.0, "dos_ef_per_ev_cell": 3.7}

Entry 8:
{"formula": "Sr2SiAs2", "functional": "GGA-PBE", "state": "optimized geometry", "lattice_angstrom": [[-6.487, -2.926, -2.417], [0.019, -4.811, 5.774], [-2.313, 3.034, 2.535]], "species": ["Sr", "Sr", "Sr", "Sr", "As", "As", "As", "As", "Si", "Si"], "fractional_positions": [[0.181, 0.681, 0.500], [0.681, 0.819, 0.500], [0.819, 0.319, 0.500], [0.319, 0.181, 0.500], [0.377, 0.877, 0.000], [0.877, 0.623, 0.000], [0.623, 0.123, 0.000], [0.123, 0.377, 0.000], [0.000, 0.000, 0.000], [0.500, 0.500, 0.000]], "raw_formation_energy_ev_per_fu": -3.01, "mass_density_kg_m3": 4533, "total_magnetization_mub_per_fu": 0.0, "dos_ef_per_ev_cell": 3.5}

Entry 9:
{"formula": "SrSiAs2", "functional": "GGA-PBE", "state": "optimized geometry", "lattice_angstrom": [[5.632, 0.006, 0.007], [1.473, 5.436, -0.007], [-2.628, -3.927, 3.064]], "species": ["As", "As", "Si", "Sr"], "fractional_positions": [[0.942, 0.942, 0.000], [0.558, 0.558, 0.000], [0.750, 0.250, 0.500], [0.250, 0.750, 0.500]], "raw_formation_energy_ev_per_fu": -0.92, "mass_density_kg_m3": 4707, "total_magnetization_mub_per_fu": 0.0, "dos_ef_per_ev_cell": 2.0}

Entry 10:
{"formula": "SrSi3As", "functional": "GGA-PBE", "state": "optimized geometry", "lattice_angstrom": [[-3.985, 1.913, 3.206], [-2.432, -4.887, -0.107], [2.832, -1.506, 4.419]], "species": ["Sr", "As", "Si", "Si", "Si"], "fractional_positions": [[0.000, 0.000, 0.000], [0.500, 0.500, 0.500], [0.000, 0.500, 0.000], [0.000, 0.000, 0.500], [0.500, 0.000, 0.000]], "raw_formation_energy_ev_per_fu": 9.46, "mass_density_kg_m3": 2518, "total_magnetization_mub_per_fu": 0.0, "relative_energy_mev_per_atom": 1405, "dos_ef_per_ev_cell": 4.3}

Entry 11:
{"formula": "Sr4Si2As", "functional": "GGA-PBE", "state": "optimized geometry", "lattice_angstrom": [[-1.905, 5.189, -2.732], [-5.227, -2.804, -1.682], [-6.642, 3.271, 3.887]], "species": ["Sr", "Sr", "Sr", "Sr", "As", "Si", "Si"], "fractional_positions": [[0.795, 0.795, 0.411], [0.205, 0.205, 0.589], [0.000, 0.500, 0.000], [0.500, 0.000, 0.000], [0.000, 0.000, 0.000], [0.582, 0.582, 0.837], [0.418, 0.418, 0.163]], "raw_formation_energy_ev_per_fu": -2.54, "mass_density_kg_m3": 2948, "total_magnetization_mub_per_fu": 0.8, "dos_ef_per_ev_cell": 8.9}

Entry 12:
{"formula": "SrSi3As", "functional": "GGA-PBE", "state": "optimized geometry", "lattice_angstrom": [[-0.120, 4.789, 1.346], [-4.955, -0.232, 0.385], [0.433, -1.331, 4.775]], "species": ["Sr", "As", "Si", "Si", "Si"], "fractional_positions": [[0.500, 0.500, 0.500], [0.000, 0.000, 0.000], [0.000, 0.500, 0.000], [0.000, 0.000, 0.500], [0.500, 0.000, 0.000]], "raw_formation_energy_ev_per_fu": 2.43, "mass_density_kg_m3": 3327, "total_magnetization_mub_per_fu": 0.0, "relative_energy_mev_per_atom": 0, "dos_ef_per_ev_cell": 2.2}

Entry 13:
{"formula": "SrSi4As", "functional": "GGA-PBE", "state": "optimized geometry", "lattice_angstrom": [[0.000, 3.817, 3.817], [3.817, 0.000, 3.817], [3.817, 3.817, 0.000]], "species": ["Sr", "Si", "Si", "Si", "Si", "As"], "fractional_positions": [[0.750, 0.750, 0.750], [0.372, 0.884, 0.372], [0.884, 0.372, 0.372], [0.372, 0.372, 0.884], [0.372, 0.372, 0.372], [0.000, 0.000, 0.000]], "raw_formation_energy_ev_per_fu": 1.09, "mass_density_kg_m3": 4104, "total_magnetization_mub_per_fu": 0.0, "dos_ef_per_ev_cell": 3.9}

Entry 14:
{"formula": "SrSiAs", "functional": "GGA-PBE", "state": "optimized geometry", "lattice_angstrom": [[5.950, 0.000, 0.000], [4.892, 3.470, 0.019], [1.057, 0.468, 3.438]], "species": ["As", "Si", "Sr"], "fractional_positions": [[0.045, 0.045, 0.955], [0.622, 0.622, 0.378], [0.333, 0.333, 0.667]], "raw_formation_energy_ev_per_fu": -0.97, "mass_density_kg_m3": 4464, "total_magnetization_mub_per_fu": 0.0, "dos_ef_per_ev_cell": 0.9}

Entry 15:
{"formula": "SrSiAs2", "functional": "GGA-PBE", "state": "optimized geometry", "lattice_angstrom": [[3.875, 0.000, 0.000], [0.000, 4.756, -0.042], [0.000, 2.427, 6.100]], "species": ["As", "As", "Si", "Sr"], "fractional_positions": [[0.000, 0.112, 0.901], [0.500, 0.411, 0.304], [0.000, 0.299, 0.526], [0.500, 0.678, 0.768]], "raw_formation_energy_ev_per_fu": -1.55, "mass_density_kg_m3": 3909, "total_magnetization_mub_per_fu": 0.0, "dos_ef_per_ev_cell": 1.7}

Entry 16:
{"formula": "Sr3Si2As4", "functional": "GGA-PBE", "state": "optimized geometry", "lattice_angstrom": [[-3.960, -6.162, 6.332], [1.154, -2.161, -9.368], [4.477, -5.946, -0.057]], "species": ["As", "As", "As", "As", "As", "As", "As", "As", "Si", "Si", "Si", "Si", "Sr", "Sr", "Sr", "Sr", "Sr", "Sr"], "fractional_positions": [[0.444, 0.050, 0.718], [0.950, 0.556, 0.782], [0.556, 0.950, 0.282], [0.050, 0.444, 0.218], [0.321, 0.189, 0.252], [0.811, 0.679, 0.248], [0.679, 0.811, 0.748], [0.189, 0.321, 0.752], [0.472, 0.830, 0.656], [0.170, 0.528, 0.844], [0.528, 0.170, 0.344], [0.830, 0.472, 0.156], [0.814, 0.186, 0.750], [0.186, 0.814, 0.250], [0.565, 0.435, 0.750], [0.435, 0.565, 0.250], [0.941, 0.059, 0.250], [0.059, 0.941, 0.750]], "raw_formation_energy_ev_per_fu": -7.53, "mass_density_kg_m3": 4143, "total_magnetization_mub_per_fu": 0.0, "relative_energy_mev_per_atom": 0}

Entry 17:
{"formula": "Sr3SiAs", "functional": "GGA-PBE", "state": "optimized geometry", "lattice_angstrom": [[5.852, 0.000, 0.000], [0.000, 5.852, 0.000], [0.000, 0.000, 5.852]], "species": ["Sr", "Sr", "Sr", "As", "Si"], "fractional_positions": [[0.000, 0.500, 0.000], [0.000, 0.000, 0.500], [0.500, 0.000, 0.000], [0.000, 0.000, 0.000], [0.500, 0.500, 0.500]], "raw_formation_energy_ev_per_fu": -1.62, "mass_density_kg_m3": 3031, "total_magnetization_mub_per_fu": 0.8, "relative_energy_mev_per_atom": 0, "dos_ef_per_ev_cell": 4.7}

Entry 18:
{"formula": "Sr4SiAs4", "functional": "GGA-PBE", "state": "optimized geometry", "lattice_angstrom": [[-11.569, 2.753, -4.823], [-4.115, -11.734, 3.172], [-3.730, 4.406, 11.461]], "species": ["As", "As", "As", "As", "As", "As", "As", "As", "As", "As", "As", "As", "As", "As", "As", "As", "As", "As", "As", "As", "As", "As", "As", "As", "As", "As", "As", "As", "As", "As", "As", "As", "Si", "Si", "Si", "Si", "Si", "Si", "Si", "Si", "Sr", "Sr", "Sr", "Sr", "Sr", "Sr", "Sr", "Sr", "Sr", "Sr", "Sr", "Sr", "Sr", "Sr", "Sr", "Sr", "Sr", "Sr", "Sr", "Sr", "Sr", "Sr", "Sr", "Sr", "Sr", "Sr", "Sr", "Sr", "Sr", "Sr", "Sr", "Sr"], "fractional_positions": [[0.148, 0.117, 0.394], [0.852, 0.883, 0.394], [0.852, 0.117, 0.606], [0.148, 0.883, 0.606], [0.394, 0.148, 0.117], [0.394, 0.852, 0.883], [0.606, 0.852, 0.117], [0.606, 0.148, 0.883], [0.117, 0.394, 0.148], [0.883, 0.394, 0.852], [0.117, 0.606, 0.852], [0.883, 0.606, 0.148], [0.617, 0.648, 0.894], [0.383, 0.352, 0.894], [0.617, 0.352, 0.106], [0.383, 0.648, 0.106], [0.648, 0.894, 0.617], [0.352, 0.894, 0.383], [0.352, 0.106, 0.617], [0.648, 0.106, 0.383], [0.894, 0.617, 0.648], [0.894, 0.383, 0.352], [0.106, 0.617, 0.352], [0.106, 0.383, 0.648], [0.392, 0.392, 0.392], [0.608, 0.608, 0.392], [0.608, 0.392, 0.608], [0.392, 0.608, 0.608], [0.892, 0.892, 0.892], [0.108, 0.108, 0.892], [0.892, 0.108, 0.108], [0.108, 0.892, 0.108], [0.250, 0.000, 0.500], [0.750, 0.000, 0.500], [0.500, 0.250, 0.000], [0.500, 0.750, 0.000], [0.000, 0.500, 0.250], [0.000, 0.500, 0.750], [0.000, 0.000, 0.000], [0.500, 0.500, 0.500], [0.404, 0.144, 0.368], [0.596, 0.856, 0.368], [0.596, 0.144, 0.632], [0.404, 0.856, 0.632], [0.368, 0.404, 0.144], [0.368, 0.596, 0.856], [0.632, 0.596, 0.144], [0.632, 0.404, 0.856], [0.144, 0.368, 0.404], [0.856, 0.368, 0.596], [0.144, 0.632, 0.596], [0.856, 0.632, 0.404], [0.644, 0.904, 0.868], [0.356, 0.096, 0.868], [0.644, 0.096, 0.132], [0.356, 0.904, 0.132], [0.904, 0.868, 0.644], [0.096, 0.868, 0.356], [0.096, 0.132, 0.644], [0.904, 0.132, 0.356], [0.868, 0.644, 0.904], [0.868, 0.356, 0.096], [0.132, 0.644, 0.096], [0.132, 0.356, 0.904], [0.644, 0.644, 0.644], [0.356, 0.356, 0.644], [0.356, 0.644, 0.356], [0.644, 0.356, 0.356], [0.144, 0.144, 0.144], [0.856, 0.856, 0.144], [0.144, 0.856, 0.856], [0.856, 0.144, 0.856]], "raw_formation_energy_ev_per_fu": -9.25, "mass_density_kg_m3": 4263, "total_magnetization_mub_per_fu": 0.0, "relative_energy_mev_per_atom": 0}

Entry 19:
{"formula": "Sr3SiAs4", "functional": "GGA-PBE", "state": "optimized geometry", "lattice_angstrom": [[6.080, 0.000, 0.000], [0.000, 7.708, 0.000], [0.000, 0.000, 9.674]], "species": ["Sr", "Sr", "Sr", "Sr", "Sr", "Sr", "Si", "Si", "As", "As", "As", "As", "As", "As", "As", "As"], "fractional_positions": [[0.431, 0.055, 0.000], [0.132, 0.625, 0.195], [0.632, 0.375, 0.305], [0.931, 0.945, 0.500], [0.632, 0.375, 0.695], [0.132, 0.625, 0.805], [0.964, 0.179, 0.000], [0.464, 0.821, 0.500], [0.861, 0.875, 0.000], [0.724, 0.416, 0.000], [0.136, 0.212, 0.247], [0.636, 0.788, 0.253], [0.224, 0.584, 0.500], [0.361, 0.125, 0.500], [0.636, 0.788, 0.747], [0.136, 0.212, 0.753]], "raw_formation_energy_ev_per_fu": -4.95, "mass_density_kg_m3": 4326, "total_magnetization_mub_per_fu": 0.0, "relative_energy_mev_per_atom": 234, "dos_ef_per_ev_cell": 5.2}

Entry 20:
{"formula": "SrSiAs2", "functional": "GGA-PBE", "state": "optimized geometry", "lattice_angstrom": [[-5.116, 1.354, -0.884], [-4.110, -1.668, -3.019], [-3.069, -3.162, 3.030]], "species": ["As", "As", "Si", "Sr"], "fractional_positions": [[0.011, 0.011, 0.878], [0.775, 0.775, 0.754], [0.468, 0.468, 0.601], [0.245, 0.245, 0.266]], "raw_formation_energy_ev_per_fu": -1.43, "mass_density_kg_m3": 4539, "total_magnetization_mub_per_fu": 0.0, "dos_ef_per_ev_cell": 0.9}